(1)
Computed, not measured: crystalline Ce2PrN3 at its relaxed geometry at the PBE level of DFT.

Calculated values
polymorph energy (0 for the lowest one) = 0.000 eV per atom
DOS(E_F) = 9.70 states/eV per cell
energy relative to the elements, uncorrected = -1444 meV per atom

Cell: 3.5956 5.1205 10.7974 Å, 90.00 90.00 90.00°
Last column: nearest neighbours and their distance in Å.
Space group Immm (No. 71)
Asymmetric unit:
Ce 0.0000 0.0000 0.1667 (multiplicity 4)  6 N 2.45-2.56
Pr 0.0000 0.0000 0.5000 (multiplicity 2)  6 N 2.56-2.64
N 0.0000 0.5000 0.1791 (multiplicity 4)  4 Ce 2.45-2.56, 2 Pr 2.64
N 0.0000 0.5000 0.5000 (multiplicity 2)  4 Ce 2.54, 2 Pr 2.56



(2)
Computed, not measured: crystalline NdGaTe2 at its relaxed geometry at the PBE level of DFT.

Calculated values
DOS(E_F) = 0.90 states/eV per cell
energy relative to the elements, uncorrected = -879 meV per atom

Cell: 4.3976 4.3976 23.7907 Å, 90.00 90.00 120.00°
Last column: nearest neighbours and their distance in Å.
Space group R3m (No. 160, hexagonal axes)
Asymmetric unit:
Nd 0.0000 0.0000 0.0000 (multiplicity 3)  6 Te 3.20-3.22
Ga 0.0000 0.0000 0.1675 (multiplicity 3)  6 Te 3.23
Te 0.0000 0.0000 0.5851 (multiplicity 3)  3 Nd 3.20, 3 Ga 3.23
Te 0.0000 0.0000 0.7500 (multiplicity 3)  3 Nd 3.22, 3 Ga 3.23



(3)
Computed, not measured: crystalline Ce5SmRu6 at its relaxed geometry at the PBE level of DFT.

Calculated values
polymorph energy (0 for the lowest one) = 0.000 eV per atom
DOS(E_F) = 20.95 states/eV per cell
energy of formation from the pure elements = -0.301 eV per atom

Cell: 8.0306 14.7068 4.9971 Å, 90.00 122.43 90.00°
Last column: nearest neighbours and their distance in Å.
Space group C2/m (No. 12)
Asymmetric unit:
Ce 0.0000 0.0000 0.0000 (multiplicity 2)  2 Ru 2.59
Ce 0.0000 0.1680 0.5000 (multiplicity 4)  8 Ru 2.91-3.03
Ce 0.0000 0.3349 0.0000 (multiplicity 4)  4 Ru 2.73-2.93
Sm 0.0000 0.5000 0.5000 (multiplicity 2)  8 Ru 3.07-3.16, 2 Ce 3.41
Ru 0.2252 0.0000 0.7744 (multiplicity 4)  1 Ce 2.59
Ru 0.2504 0.1728 0.2129 (multiplicity 8)  6 Ce 2.73-3.06